# CrCo2Sb (PBE-GGA, optimized geometry)
data_CrCo2Sb
_symmetry_space_group_name_H-M 'R 3 m'
_symmetry_Int_Tables_number 160
_symmetry_space_group_name_Hall 'R 3 -2"'
_cell_length_a 2.9991
_cell_length_b 2.9991
_cell_length_c 22.9563
_cell_angle_alpha 90.00
_cell_angle_beta 90.00
_cell_angle_gamma 120.00
loop_
_atom_site_label
_atom_site_fract_x
_atom_site_fract_y
_atom_site_fract_z
_atom_site_occupancy
Cr1 0.0000 0.0000 0.0000 1
Co1 0.0000 0.0000 0.4842 1
Co2 0.0000 0.0000 0.7415 1
Sb1 0.0000 0.0000 0.2385 1
# formation energy (no corrections)	591	meV per atom
# total moment	4.9	μB/f.u.
# total energy	-0.4703	Ry/atom

---

# CrCoSb (PBE-GGA, optimized geometry)
data_CrCoSb
_symmetry_space_group_name_H-M 'P -6 m 2'
_symmetry_Int_Tables_number 187
_symmetry_space_group_name_Hall 'P -6 2'
_cell_length_a 4.2252
_cell_length_b 4.2252
_cell_length_c 3.0786
_cell_angle_alpha 90.00
_cell_angle_beta 90.00
_cell_angle_gamma 120.00
loop_
_atom_site_label
_atom_site_fract_x
_atom_site_fract_y
_atom_site_fract_z
_atom_site_occupancy
Cr1 0.0000 0.0000 0.0000 1
Co1 0.3333 0.6667 0.5000 1
Sb1 0.6667 0.3333 0.5000 1
# formation energy (no corrections)	268	meV per atom
# total moment	3.7	μB/f.u.
# total energy	-0.4911	Ry/atom

---

# CrCo2Sb (PBE-GGA, optimized geometry)
data_CrCo2Sb
_symmetry_space_group_name_H-M 'P 4/m m m'
_symmetry_Int_Tables_number 123
_symmetry_space_group_name_Hall '-P 4 2'
_cell_length_a 3.883
_cell_length_b 3.883
_cell_length_c 3.580
_cell_angle_alpha 90.00
_cell_angle_beta 90.00
_cell_angle_gamma 90.00
loop_
_atom_site_label
_atom_site_fract_x
_atom_site_fract_y
_atom_site_fract_z
_atom_site_occupancy
Cr1 0.000 0.000 0.000 1
Co1 0.000 0.500 0.500 1
Sb1 0.500 0.500 0.000 1
# formation energy (no corrections)	105	meV per atom
# total moment	3.4	μB/f.u.
# total energy	-0.5060	Ry/atom

---

# CrCo2Sb (PBE-GGA, optimized geometry)
data_CrCo2Sb
_symmetry_space_group_name_H-M 'F -4 3 m'
_symmetry_Int_Tables_number 216
_symmetry_space_group_name_Hall 'F -4 2 3'
_cell_length_a 5.937
_cell_length_b 5.937
_cell_length_c 5.937
_cell_angle_alpha 90.00
_cell_angle_beta 90.00
_cell_angle_gamma 90.00
loop_
_atom_site_label
_atom_site_fract_x
_atom_site_fract_y
_atom_site_fract_z
_atom_site_occupancy
Cr1 0.000 0.000 0.000 1
Co1 0.000 0.000 0.500 1
Co2 0.250 0.250 0.250 1
Sb1 0.250 0.250 0.750 1
# formation energy (no corrections)	264	meV per atom
# total moment	0.1	μB/f.u.
# total energy	-0.4943	Ry/atom

---

# CrCo3Sb (PBE-GGA, optimized geometry)
data_CrCo3Sb
_symmetry_space_group_name_H-M 'P m -3 m'
_symmetry_Int_Tables_number 221
_symmetry_space_group_name_Hall '-P 4 2 3'
_cell_length_a 4.519
_cell_length_b 4.519
_cell_length_c 4.519
_cell_angle_alpha 90.00
_cell_angle_beta 90.00
_cell_angle_gamma 90.00
loop_
_atom_site_label
_atom_site_fract_x
_atom_site_fract_y
_atom_site_fract_z
_atom_site_occupancy
Cr1 0.000 0.000 0.000 1
Co1 0.000 0.500 0.500 1
Sb1 0.500 0.500 0.500 1
# formation energy (no corrections)	1834	meV per atom
# total moment	0.5	μB/f.u.
# total energy	-0.3806	Ry/atom

---

# CrCo2Sb (PBE-GGA, optimized geometry)
data_CrCo2Sb
_symmetry_space_group_name_H-M 'I -4 m 2'
_symmetry_Int_Tables_number 119
_symmetry_space_group_name_Hall 'I -4 -2'
_cell_length_a 3.779
_cell_length_b 3.779
_cell_length_c 7.491
_cell_angle_alpha 90.00
_cell_angle_beta 90.00
_cell_angle_gamma 90.00
loop_
_atom_site_label
_atom_site_fract_x
_atom_site_fract_y
_atom_site_fract_z
_atom_site_occupancy
Cr1 0.000 0.000 0.000 1
Co1 0.000 0.000 0.500 1
Co2 0.000 0.500 0.250 1
Sb1 0.000 0.500 0.750 1
# formation energy (no corrections)	148	meV per atom
# total moment	1.7	μB/f.u.
# total energy	-0.5028	Ry/atom

---

# CrCoSb4 (PBE-GGA, optimized geometry)
data_CrCoSb4
_symmetry_space_group_name_H-M 'F -4 3 m'
_symmetry_Int_Tables_number 216
_symmetry_space_group_name_Hall 'F -4 2 3'
_cell_length_a 8.635
_cell_length_b 8.635
_cell_length_c 8.635
_cell_angle_alpha 90.00
_cell_angle_beta 90.00
_cell_angle_gamma 90.00
loop_
_atom_site_label
_atom_site_fract_x
_atom_site_fract_y
_atom_site_fract_z
_atom_site_occupancy
Cr1 0.000 0.000 0.000 1
Co1 0.250 0.250 0.250 1
Sb1 0.125 0.125 0.625 1
# formation energy (no corrections)	972	meV per atom
# total moment	2.4	μB/f.u.
# total energy	-0.3355	Ry/atom

---

# Cr4CoSb (PBE-GGA, optimized geometry)
data_Cr4CoSb
_symmetry_space_group_name_H-M 'F -4 3 m'
_symmetry_Int_Tables_number 216
_symmetry_space_group_name_Hall 'F -4 2 3'
_cell_length_a 6.809
_cell_length_b 6.809
_cell_length_c 6.809
_cell_angle_alpha 90.00
_cell_angle_beta 90.00
_cell_angle_gamma 90.00
loop_
_atom_site_label
_atom_site_fract_x
_atom_site_fract_y
_atom_site_fract_z
_atom_site_occupancy
Cr1 0.124 0.124 0.376 1
Co1 0.250 0.250 0.750 1
Sb1 0.000 0.000 0.000 1
# formation energy (no corrections)	383	meV per atom
# total moment	0.9	μB/f.u.
# total energy	-0.5809	Ry/atom

---

- Which of these has the lowest total moment?
  number 4